Record 1
{
  "formula": "Tm3AlS",
  "functional": "GGA-PBE",
  "state": "relaxed",
  "cell": [[5.0403, 0.0000, 0.0000], [0.0000, 5.0403, 0.0000], [0.0000, 0.0000, 5.0403]],
  "species": ["Tm", "Tm", "Tm", "Al", "S"],
  "frac_coords": [[0.0000, 0.0000, 0.5000], [0.0000, 0.5000, 0.0000], [0.5000, 0.0000, 0.0000], [0.5000, 0.5000, 0.5000], [0.0000, 0.0000, 0.0000]],
  "energy_ev_per_fu": -24.7,
  "raw_formation_energy_mev_per_atom": -692,
  "magnetic_moment_mub_per_cell": 0.00,
  "dos_ef_per_ev_cell": 3.25
}

=====

Record 2
{
  "formula": "Dy2Pb2N",
  "functional": "GGA-PBE",
  "state": "relaxed",
  "cell": [[3.0691, -1.7722, 0.0000], [3.0691, 1.7722, 0.0000], [-2.0588, 0.0000, 10.8935]],
  "species": ["Dy", "Dy", "Pb", "Pb", "N"],
  "frac_coords": [[0.2073, 0.2073, 0.1208], [0.7927, 0.7927, 0.8792], [0.0452, 0.0452, 0.6396], [0.9548, 0.9548, 0.3604], [0.5000, 0.5000, 0.0000]],
  "energy_ev_per_fu": -28.9,
  "raw_formation_energy_mev_per_atom": -792,
  "magnetic_moment_mub_per_cell": 0.00,
  "dos_ef_per_ev_cell": 2.01
}

=====

Record 3
{
  "formula": "ReIrW2",
  "functional": "GGA-PBE",
  "state": "relaxed",
  "cell": [[-1.9605, 1.9605, 4.0217], [1.9605, -1.9605, 4.0217], [1.9605, 1.9605, -4.0217]],
  "species": ["Re", "Ir", "W", "W"],
  "frac_coords": [[0.0000, 0.0000, 0.0000], [0.2500, 0.7500, 0.5000], [0.5000, 0.5000, 0.0000], [0.7500, 0.2500, 0.5000]],
  "energy_ev_per_fu": -47.2,
  "delta_e_f_ev_per_atom": 0.00,
  "magnetic_moment_mub_per_cell": 0.00,
  "dos_ef_per_ev_cell": 3.36
}

=====

Record 4
{
  "formula": "VTe6Pd2",
  "functional": "GGA-PBE",
  "state": "relaxed",
  "cell": [[5.4379, 0.0000, 0.0000], [0.0000, 7.0529, 0.0000], [0.0000, 0.0000, 12.0233]],
  "species": ["V", "V", "Te", "Te", "Te", "Te", "Te", "Te", "Te", "Te", "Te", "Te", "Te", "Te", "Pd", "Pd", "Pd", "Pd"],
  "frac_coords": [[0.0000, 0.0000, 0.0000], [0.5000, 0.5000, 0.5000], [0.2249, 0.3178, 0.3477], [0.2249, 0.3178, 0.6523], [0.2348, 0.8272, 0.5000], [0.2652, 0.3272, 0.0000], [0.2751, 0.8178, 0.1523], [0.2751, 0.8178, 0.8477], [0.7249, 0.1822, 0.1523], [0.7249, 0.1822, 0.8477], [0.7348, 0.6728, 0.0000], [0.7652, 0.1728, 0.5000], [0.7751, 0.6822, 0.3477], [0.7751, 0.6822, 0.6523], [0.0000, 0.5000, 0.1723], [0.0000, 0.5000, 0.8277], [0.5000, 0.0000, 0.3277], [0.5000, 0.0000, 0.6723]],
  "energy_ev_per_fu": -40.7,
  "de_polymorph_ev_per_fu": 0.000,
  "raw_formation_energy_mev_per_atom": -266,
  "magnetic_moment_mub_per_cell": 3.15,
  "dos_ef_per_ev_cell": 12.54
}

=====

Record 5
{
  "formula": "TeIr2Se",
  "functional": "GGA-PBE",
  "state": "relaxed",
  "cell": [[4.1157, 0.0000, 0.0000], [0.0000, 3.5453, 0.0000], [-2.0274, 0.0000, 5.0197]],
  "species": ["Te", "Ir", "Ir", "Se"],
  "frac_coords": [[0.0000, 0.0000, 0.0000], [0.0000, 0.0000, 0.5000], [0.5000, 0.5000, 0.0000], [0.5000, 0.5000, 0.5000]],
  "energy_ev_per_fu": -22.5,
  "de_polymorph_ev_per_fu": 1.802,
  "raw_formation_energy_mev_per_atom": 472,
  "magnetic_moment_mub_per_cell": 0.00,
  "dos_ef_per_ev_cell": 3.82
}

=====

Record 6
{
  "formula": "Mn2ZnAs2",
  "functional": "GGA-PBE",
  "state": "relaxed",
  "cell": [[3.9361, 0.0000, 0.0000], [-1.9681, 3.4088, 0.0000], [0.0000, 0.0000, 6.4385]],
  "species": ["Mn", "Mn", "Zn", "As", "As"],
  "frac_coords": [[0.3333, 0.6667, 0.3793], [0.6667, 0.3333, 0.6207], [0.0000, 0.0000, 0.0000], [0.3333, 0.6667, 0.7565], [0.6667, 0.3333, 0.2435]],
  "energy_ev_per_fu": -28.5,
  "de_polymorph_ev_per_fu": 0.152,
  "delta_e_f_ev_per_atom": 0.09,
  "magnetic_moment_mub_per_cell": 5.36,
  "dos_ef_per_ev_cell": 3.75
}

=====

Record 7
{
  "formula": "Be2PtCl",
  "functional": "GGA-PBE",
  "state": "relaxed",
  "cell": [[1.4623, -2.4857, 0.0000], [1.4623, 2.4857, 0.0000], [0.0000, 0.0000, 8.6608]],
  "species": ["Be", "Be", "Pt", "Cl"],
  "frac_coords": [[0.0000, 0.0000, 0.0000], [0.5000, 0.5000, 0.2230], [0.0000, 0.0000, 0.4168], [0.5000, 0.5000, 0.8408]],
  "energy_ev_per_fu": -15.3,
  "de_polymorph_ev_per_fu": 2.143,
  "raw_formation_energy_mev_per_atom": -1,
  "magnetic_moment_mub_per_cell": 0.00,
  "dos_ef_per_ev_cell": 1.60
}

=====

Record 8
{
  "formula": "CsTl4Pt4",
  "functional": "GGA-PBE",
  "state": "relaxed",
  "cell": [[-5.4010, 5.4010, 2.2286], [5.4010, -5.4010, 2.2286], [5.4010, 5.4010, -2.2286]],
  "species": ["Cs", "Tl", "Tl", "Tl", "Tl", "Pt", "Pt", "Pt", "Pt"],
  "frac_coords": [[0.0000, 0.0000, 0.0000], [0.1747, 0.5578, 0.7325], [0.4422, 0.1747, 0.6169], [0.5578, 0.8253, 0.3831], [0.8253, 0.4422, 0.2675], [0.2113, 0.3095, 0.5208], [0.3095, 0.7887, 0.0982], [0.6905, 0.2113, 0.9018], [0.7887, 0.6905, 0.4792]],
  "energy_ev_per_fu": -35.1,
  "delta_e_f_ev_per_atom": -0.07,
  "magnetic_moment_mub_per_cell": 0.00,
  "dos_ef_per_ev_cell": 4.62
}

=====

Record 9
{
  "formula": "LiMg3",
  "functional": "GGA-PBE",
  "state": "relaxed",
  "cell": [[3.0564, 0.0000, 0.0000], [0.0000, 3.0738, 0.0000], [0.0000, 0.0000, 9.9782]],
  "species": ["Li", "Mg", "Mg", "Mg"],
  "frac_coords": [[0.0000, 0.0000, 0.0000], [0.0000, 0.5000, 0.2619], [0.5000, 0.0000, 0.5023], [0.5000, 0.5000, 0.7773]],
  "energy_ev_per_fu": -6.3,
  "delta_e_f_ev_per_atom": 0.09,
  "magnetic_moment_mub_per_cell": 0.00,
  "dos_ef_per_ev_cell": 2.07
}

=====

Record 10
{
  "formula": "PmRu2",
  "functional": "GGA-PBE",
  "state": "relaxed",
  "cell": [[-1.5663, 1.5663, 5.8467], [1.5663, -1.5663, 5.8467], [1.5663, 1.5663, -5.8467]],
  "species": ["Pm", "Ru", "Ru"],
  "frac_coords": [[0.0000, 0.0000, 0.0000], [0.3046, 0.3046, 0.0000], [0.6954, 0.6954, 0.0000]],
  "energy_ev_per_fu": -22.7,
  "de_polymorph_ev_per_fu": 1.127,
  "delta_e_f_ev_per_atom": 0.20,
  "magnetic_moment_mub_per_cell": 0.00,
  "dos_ef_per_ev_cell": 4.21
}

=====

Record 11
{
  "formula": "Li3TlCd4",
  "functional": "GGA-PBE",
  "state": "relaxed",
  "cell": [[8.5433, -2.2594, 0.0000], [8.5433, 2.2594, 0.0000], [-1.0967, 0.0000, 4.2701]],
  "species": ["Li", "Li", "Li", "Tl", "Cd", "Cd", "Cd", "Cd"],
  "frac_coords": [[0.0000, 0.0000, 0.0000], [0.2488, 0.2488, 0.2490], [0.7512, 0.7512, 0.7510], [0.5000, 0.5000, 0.5000], [0.1356, 0.1356, 0.6387], [0.3626, 0.3626, 0.8624], [0.6374, 0.6374, 0.1376], [0.8644, 0.8644, 0.3613]],
  "energy_ev_per_fu": -13.1,
  "de_polymorph_ev_per_fu": 0.000,
  "delta_e_f_ev_per_atom": -0.17,
  "magnetic_moment_mub_per_cell": 0.00,
  "dos_ef_per_ev_cell": 2.98
}

=====

Record 12
{
  "formula": "CaNbGeTeP",
  "functional": "GGA-PBE",
  "state": "relaxed",
  "cell": [[4.2603, -1.7970, 0.0000], [4.2603, 1.7970, 0.0000], [-2.1485, 0.0000, 7.6465]],
  "species": ["Ca", "Nb", "Ge", "Te", "P"],
  "frac_coords": [[0.0000, 0.0000, 0.0000], [0.8923, 0.8923, 0.5391], [0.6379, 0.6379, 0.7487], [0.3543, 0.3543, 0.2479], [0.1801, 0.1801, 0.5337]],
  "energy_ev_per_fu": -27.8,
  "de_polymorph_ev_per_fu": 0.484,
  "raw_formation_energy_mev_per_atom": -509,
  "magnetic_moment_mub_per_cell": 0.00,
  "dos_ef_per_ev_cell": 0.91
}

=====

Record 13
{
  "formula": "Ta3PdCl",
  "functional": "GGA-PBE",
  "state": "relaxed",
  "cell": [[4.5001, 0.0000, 0.0000], [0.0000, 4.5001, 0.0000], [0.0000, 0.0000, 4.5001]],
  "species": ["Ta", "Ta", "Ta", "Pd", "Cl"],
  "frac_coords": [[0.0000, 0.0000, 0.5000], [0.0000, 0.5000, 0.0000], [0.5000, 0.0000, 0.0000], [0.5000, 0.5000, 0.5000], [0.0000, 0.0000, 0.0000]],
  "energy_ev_per_fu": -38.3,
  "de_polymorph_ev_per_fu": 0.000,
  "raw_formation_energy_mev_per_atom": 860,
  "magnetic_moment_mub_per_cell": 0.00,
  "dos_ef_per_ev_cell": 6.69
}